(1)
## HfTaPd (PBE)

Data for a relaxed HfTaPd crystal.

Summary:
The energy of formation from the pure elements comes out at -150 meV per atom. The calculation puts the final energy at -27.449 eV/f.u. The energy above the lowest structure with this stoichiometry is 168.3 meV/atom.

Cell: 7.0308 7.0308 7.0308 Å, 25.29 25.29 25.29°
Closest atoms and distances in Å follow each position.
Fractional coordinates of all 3 atoms:
Hf (0.0000, 0.0000, 0.0000)  3 Pd 2.84, 3 Ta 2.97, 6 Hf 3.08
Ta (0.2169, 0.2169, 0.2169)  3 Pd 2.84, 3 Hf 2.97, 6 Ta 3.08
Pd (0.7749, 0.7749, 0.7749)  3 Hf 2.84, 3 Ta 2.84, 6 Pd 3.08

=====

(2)
## Hf2TaPd9 (PBE)

Data for a relaxed Hf2TaPd9 crystal.

Summary:
The energy of formation from the pure elements comes out at -667 meV per atom. The calculation puts the final energy at -86.497 eV/f.u.

Cell: 3.9964 3.9964 12.0155 Å, 90.00 90.00 90.00°
Closest atoms and distances in Å follow each position.
Fractional coordinates of all 12 atoms:
Hf (0.0000, 0.0000, 0.1671)  12 Pd 2.83-2.85
Hf (0.0000, 0.0000, 0.8329)  12 Pd 2.83-2.85
Ta (0.0000, 0.0000, 0.5000)  12 Pd 2.80-2.83
Pd (0.0000, 0.5000, 0.0000)  8 Pd 2.83-2.84, 4 Hf 2.83
Pd (0.0000, 0.5000, 0.3362)  8 Pd 2.80-2.84, 2 Ta 2.80, 2 Hf 2.85
Pd (0.0000, 0.5000, 0.6638)  8 Pd 2.80-2.84, 2 Ta 2.80, 2 Hf 2.85
Pd (0.5000, 0.0000, 0.0000)  8 Pd 2.83-2.84, 4 Hf 2.83
Pd (0.5000, 0.0000, 0.3362)  8 Pd 2.80-2.84, 2 Ta 2.80, 2 Hf 2.85
Pd (0.5000, 0.0000, 0.6638)  8 Pd 2.80-2.84, 2 Ta 2.80, 2 Hf 2.85
Pd (0.5000, 0.5000, 0.1685)  4 Hf 2.83, 8 Pd 2.84
Pd (0.5000, 0.5000, 0.5000)  8 Pd 2.80, 4 Ta 2.83
Pd (0.5000, 0.5000, 0.8315)  4 Hf 2.83, 8 Pd 2.84

=====

- The lowest final energy belongs to which entry?
  Hf2TaPd9